Entry 1:
{
  "formula": "LiLa2Sc",
  "functional": "PBE",
  "state": "relaxed",
  "sg": "Cmmm",
  "total_energy_ev_per_atom": -4.394,
  "formation_energy_mev_per_atom": 131,
  "magmom_total_mub_per_fu": 0.0,
  "lattice": [[1.889, -2.850, 0.000], [1.889, 2.850, 0.000], [0.000, 0.000, 11.268]],
  "species": ["Li", "La", "La", "Sc"],
  "frac_coords": [[0.000, 0.000, 0.000], [0.500, 0.500, 0.256], [0.500, 0.500, 0.744], [0.000, 0.000, 0.500]]
}

Entry 2:
{
  "formula": "NdDy2In2Ag2",
  "functional": "PBE",
  "state": "relaxed",
  "sg": "R-3m",
  "total_energy_ev_per_atom": -3.885,
  "formation_energy_mev_per_atom": -292,
  "magmom_total_mub_per_fu": 0.0,
  "lattice": [[2.443, 1.410, 8.951], [-2.443, 1.410, 8.951], [0.000, -2.821, 8.951]],
  "species": ["Nd", "Dy", "Dy", "In", "In", "Ag", "Ag"],
  "frac_coords": [[0.000, 0.000, 0.000], [0.127, 0.127, 0.127], [0.873, 0.873, 0.873], [0.258, 0.258, 0.258], [0.742, 0.742, 0.742], [0.405, 0.405, 0.405], [0.595, 0.595, 0.595]]
}